No. 1
DFT (PBE) results for a relaxed LiYIn2 crystal.

Output
- energy relative to the elements (eV/f.u.) = -1.1

a b c (Å): 5.630 5.630 5.630
angles (deg): 131.83 131.83 70.50
Element x y z (fractional)
Li: 0.000 0.000 0.000
Y: 0.250 0.750 0.500
In: 0.500 0.500 0.000
In: 0.750 0.250 0.500

***

No. 2
DFT (PBE) results for a relaxed LiYHoSi crystal.

Output
- uncorrected formation energy (eV/atom) = -0.372

a b c (Å): 4.957 4.957 4.957
angles (deg): 60.00 60.00 60.00
Element x y z (fractional)
Li: 0.000 0.000 0.000
Y: 0.250 0.250 0.250
Ho: 0.750 0.750 0.750
Si: 0.500 0.500 0.500

***

No. 3
DFT (PBE) results for a relaxed NiSbIr4 crystal.

Output
- uncorrected formation energy (eV/atom) = 0.568

a b c (Å): 5.236 5.236 5.236
angles (deg): 60.00 60.00 60.00
Element x y z (fractional)
Ni: 0.000 0.000 0.000
Sb: 0.250 0.250 0.250
Ir: 0.124 0.625 0.625
Ir: 0.625 0.124 0.625
Ir: 0.625 0.625 0.124
Ir: 0.625 0.625 0.625

***

No. 4
DFT (PBE) results for a relaxed Y2TaGe3Rh4 crystal.

Output
- energy relative to the elements (eV/f.u.) = -8.1

a b c (Å): 4.118 4.118 10.774
angles (deg): 90.00 90.00 90.00
Element x y z (fractional)
Y: 0.000 0.500 0.237
Y: 0.500 0.000 0.763
Ta: 0.000 0.000 0.500
Ge: 0.000 0.500 0.871
Ge: 0.500 0.000 0.129
Ge: 0.500 0.500 0.500
Rh: 0.000 0.000 0.000
Rh: 0.000 0.500 0.642
Rh: 0.500 0.000 0.358
Rh: 0.500 0.500 0.000

***

No. 5
DFT (PBE) results for a relaxed Ce2ErNpS4 crystal.

Output
- uncorrected formation energy (eV/atom) = -1.866

a b c (Å): 6.845 3.942 6.851
angles (deg): 90.00 109.41 90.00
Element x y z (fractional)
Ce: 0.000 0.000 0.000
Ce: 0.500 0.500 0.000
Er: 0.000 0.500 0.500
Np: 0.500 0.000 0.500
S: 0.243 0.000 0.738
S: 0.252 0.500 0.262
S: 0.748 0.500 0.738
S: 0.757 0.000 0.262

***

No. 6
DFT (PBE) results for a relaxed TlHg2Ir crystal.

Output
- excess energy over the best structure of this formula in the dataset (eV/atom) = 0.2049
- energy relative to the elements (eV/f.u.) = 1.9

a b c (Å): 3.369 4.164 5.955
angles (deg): 90.00 90.00 90.00
Element x y z (fractional)
Tl: 0.000 0.000 0.000
Hg: 0.000 0.000 0.526
Hg: 0.500 0.500 0.287
Ir: 0.500 0.500 0.780

***

No. 7
DFT (PBE) results for a relaxed BaMgCr4 crystal.

Output
- energy relative to the elements (eV/f.u.) = 5.9

a b c (Å): 5.212 5.212 5.212
angles (deg): 60.00 60.00 60.00
Element x y z (fractional)
Ba: 0.000 0.000 0.000
Mg: 0.250 0.250 0.250
Cr: 0.124 0.625 0.625
Cr: 0.625 0.124 0.625
Cr: 0.625 0.625 0.124
Cr: 0.625 0.625 0.625

***

No. 8
DFT (PBE) results for a relaxed NiSn2Au crystal.

Output
- excess energy over the best structure of this formula in the dataset (eV/atom) = 0.2195
- energy relative to the elements (eV/f.u.) = 0.0

a b c (Å): 3.401 3.401 8.055
angles (deg): 90.00 90.00 120.00
Element x y z (fractional)
Ni: 0.000 0.000 0.000
Sn: 0.333 0.667 0.224
Sn: 0.333 0.667 0.776
Au: 0.667 0.333 0.500

***

no.,magnetization (μB/atom),total DFT energy (no corrections) (eV/atom)
1,0.00,-3.739
2,0.00,-4.967
3,0.32,-6.990
4,0.00,-7.618
5,0.65,-7.602
6,0.00,-2.475
7,0.00,-6.011
8,0.00,-4.275